# LiPrEuOs (PBE, optimized geometry)
data_LiPrEuOs
_chemical_formula_sum 'Li4 Pr4 Eu4 Os4'
_cell_length_a 7.1602
_cell_length_b 7.1602
_cell_length_c 7.1602
_cell_angle_alpha 90.00
_cell_angle_beta 90.00
_cell_angle_gamma 90.00
_space_group_name_H-M_alt 'F -4 3 m'
_space_group_IT_number 216
_space_group_name_Hall 'F -4 2 3'
loop_
_atom_site_label
_atom_site_fract_x
_atom_site_fract_y
_atom_site_fract_z
Li1 0.0000 0.0000 0.0000
Pr1 0.2500 0.2500 0.2500
Eu1 0.2500 0.2500 0.7500
Os1 0.0000 0.0000 0.5000
# Crystal system: cubic
# E in eV/atom: -6.9760
# DOS(E_F) in states/eV/cell: 39.38
# Total moment in μB per atom: 1.737
# Formation energy in meV/atom: 73